Below is a relaxed Cs4Dy3CoO8 crystal, with properties calculated at the GGA+U level.

abc: 7.9230 7.9230 7.9230
angles: 52.36 52.36 52.36
Atoms (fractional coordinates):
Cs 0.0000 0.0000 0.0000
Cs 0.0000 0.5000 0.5000
Cs 0.5000 0.0000 0.5000
Cs 0.5000 0.5000 0.0000
Dy 0.0000 0.0000 0.5000
Dy 0.0000 0.5000 0.0000
Dy 0.5000 0.0000 0.0000
Co 0.5000 0.5000 0.5000
O 0.2215 0.2215 0.2215
O 0.2334 0.7140 0.7140
O 0.2860 0.2860 0.7666
O 0.2860 0.7666 0.2860
O 0.7140 0.2334 0.7140
O 0.7140 0.7140 0.2334
O 0.7666 0.2860 0.2860
O 0.7785 0.7785 0.7785

Computed properties:
Symmetry: R-3m, No. 166
Total energy (eV/cell): -96.0
Size of the total moment (μB per cell): 4.2